1.
# KBeAl3 (GGA-PBE, optimized geometry)
# Energy relative to the lowest polymorph listed for this composition in meV/atom: 0
# Crystal system: cubic
# Energy of formation from the pure elements in eV per atom: 0.4798
# Total DFT energy (no corrections) in eV per atom: -2.73
# Mass density in g/cm³: 1.98
# Fermi-level density of states in states/eV/cell: 2.957
data_KBeAl3
_chemical_formula_sum 'K1 Be1 Al3'
_space_group_name_H-M_alt 'P m -3 m'
_space_group_IT_number 221
_space_group_name_Hall '-P 4 2 3'
_cell_length_a 4.7668
_cell_length_b 4.7668
_cell_length_c 4.7668
_cell_angle_alpha 90.00
_cell_angle_beta 90.00
_cell_angle_gamma 90.00
loop_
_atom_site_label
_atom_site_type_symbol
_atom_site_fract_x
_atom_site_fract_y
_atom_site_fract_z
K1 K 0.0000 0.0000 0.0000
Be1 Be 0.5000 0.5000 0.5000
Al1 Al 0.0000 0.5000 0.5000


2.
# Mg2ZnAg4 (GGA-PBE, optimized geometry)
# Energy relative to the lowest polymorph listed for this composition in meV/atom: 345
# Crystal system: tetragonal
# Energy of formation from the pure elements in eV per atom: 0.2648
# Total DFT energy (no corrections) in eV per atom: -2.00
# Mass density in g/cm³: 5.61
# Fermi-level density of states in states/eV/cell: 6.219
data_Mg2ZnAg4
_chemical_formula_sum 'Mg4 Zn2 Ag8'
_space_group_name_H-M_alt 'I 4/m m m'
_space_group_IT_number 139
_space_group_name_Hall '-I 4 2'
_cell_length_a 4.8413
_cell_length_b 4.8413
_cell_length_c 13.7682
_cell_angle_alpha 90.00
_cell_angle_beta 90.00
_cell_angle_gamma 90.00
loop_
_atom_site_label
_atom_site_type_symbol
_atom_site_fract_x
_atom_site_fract_y
_atom_site_fract_z
Mg1 Mg 0.0000 0.0000 0.1186
Zn1 Zn 0.0000 0.0000 0.5000
Ag1 Ag 0.0000 0.0000 0.3134
Ag2 Ag 0.0000 0.5000 0.0000


3.
# TlF (GGA-PBE, optimized geometry)
# Energy relative to the lowest polymorph listed for this composition in meV/atom: 0
# Crystal system: orthorhombic
# Total DFT energy (no corrections) in eV per atom: -3.88
# Mass density in g/cm³: 7.24
# Fermi-level density of states in states/eV/cell: 0.000
data_TlF
_chemical_formula_sum 'Tl2 F2'
_space_group_name_H-M_alt 'P m m n'
_space_group_IT_number 59
_cell_length_a 4.3316
_cell_length_b 4.4601
_cell_length_c 5.3052
_cell_angle_alpha 90.00
_cell_angle_beta 90.00
_cell_angle_gamma 90.00
loop_
_space_group_symop_operation_xyz
'x,y,z'
'-x,-y,-z'
'-x+1/2,-y+1/2,z'
'x+1/2,y+1/2,-z'
'x+1/2,-y,-z'
'-x+1/2,y,z'
'-x,y+1/2,-z'
'x,-y+1/2,z'
loop_
_atom_site_label
_atom_site_type_symbol
_atom_site_fract_x
_atom_site_fract_y
_atom_site_fract_z
Tl1 Tl 0.2500 0.2500 0.2451
F1 F 0.2500 0.7500 0.4928


4.
# TlCu2Br (GGA-PBE, optimized geometry)
# Energy relative to the lowest polymorph listed for this composition in meV/atom: 225
# Crystal system: orthorhombic
# Total DFT energy (no corrections) in eV per atom: -2.78
# Mass density in g/cm³: 7.85
# Fermi-level density of states in states/eV/cell: 1.443
data_TlCu2Br
_chemical_formula_sum 'Tl2 Cu4 Br2'
_space_group_name_H-M_alt 'I m m m'
_space_group_IT_number 71
_space_group_name_Hall '-I 2 2'
_cell_length_a 3.3801
_cell_length_b 6.1965
_cell_length_c 8.3095
_cell_angle_alpha 90.00
_cell_angle_beta 90.00
_cell_angle_gamma 90.00
loop_
_atom_site_label
_atom_site_type_symbol
_atom_site_fract_x
_atom_site_fract_y
_atom_site_fract_z
Tl1 Tl 0.0000 0.0000 0.0000
Cu1 Cu 0.0000 0.5000 0.2421
Br1 Br 0.0000 0.0000 0.5000


5.
# Y2AlOs (GGA-PBE, optimized geometry)
# Crystal system: trigonal
# Energy of formation from the pure elements in eV per atom: -0.2617
# Total DFT energy (no corrections) in eV per atom: -7.24
# Mass density in g/cm³: 6.79
# Fermi-level density of states in states/eV/cell: 9.450
data_Y2AlOs
_chemical_formula_sum 'Y6 Al3 Os3'
_space_group_name_H-M_alt 'R 3 m'
_space_group_IT_number 160
_space_group_name_Hall 'R 3 -2"'
_cell_length_a 4.4085
_cell_length_b 4.4085
_cell_length_c 17.2163
_cell_angle_alpha 90.00
_cell_angle_beta 90.00
_cell_angle_gamma 120.00
loop_
_atom_site_label
_atom_site_type_symbol
_atom_site_fract_x
_atom_site_fract_y
_atom_site_fract_z
Y1 Y 0.0000 0.0000 0.0000
Y2 Y 0.0000 0.0000 0.1898
Al1 Al 0.0000 0.0000 0.7621
Os1 Os 0.0000 0.0000 0.4306


6.
# TcP2Se (GGA-PBE, optimized geometry)
# Crystal system: orthorhombic
# Total DFT energy (no corrections) in eV per atom: -5.85
# Mass density in g/cm³: 5.65
# Fermi-level density of states in states/eV/cell: 5.860
data_TcP2Se
_chemical_formula_sum 'Tc2 P4 Se2'
_space_group_name_H-M_alt 'C m m m'
_space_group_IT_number 65
_space_group_name_Hall '-C 2 2'
_cell_length_a 3.1449
_cell_length_b 4.5322
_cell_length_c 9.8510
_cell_angle_alpha 90.00
_cell_angle_beta 90.00
_cell_angle_gamma 90.00
loop_
_atom_site_label
_atom_site_type_symbol
_atom_site_fract_x
_atom_site_fract_y
_atom_site_fract_z
Tc1 Tc 0.0000 0.0000 0.0000
P1 P 0.0000 0.5000 0.1889
Se1 Se 0.0000 0.0000 0.5000


7.
# Nd2TeAs (GGA-PBE, optimized geometry)
# Energy relative to the lowest polymorph listed for this composition in meV/atom: 0
# Crystal system: trigonal
# Total DFT energy (no corrections) in eV per atom: -5.87
# Mass density in g/cm³: 6.81
# Fermi-level density of states in states/eV/cell: 4.847
data_Nd2TeAs
_chemical_formula_sum 'Nd6 Te3 As3'
_space_group_name_H-M_alt 'R -3 m'
_space_group_IT_number 166
_space_group_name_Hall '-R 3 2"'
_cell_length_a 4.3404
_cell_length_b 4.3404
_cell_length_c 22.0140
_cell_angle_alpha 90.00
_cell_angle_beta 90.00
_cell_angle_gamma 120.00
loop_
_atom_site_label
_atom_site_type_symbol
_atom_site_fract_x
_atom_site_fract_y
_atom_site_fract_z
Nd1 Nd 0.0000 0.0000 0.2402
Te1 Te 0.0000 0.0000 0.0000
As1 As 0.0000 0.0000 0.5000


8.
# Pm6GaOs2Br3 (GGA-PBE, optimized geometry)
# Crystal system: monoclinic
# Total DFT energy (no corrections) in eV per atom: -5.69
# Mass density in g/cm³: 7.42
# Fermi-level density of states in states/eV/cell: 16.500
data_Pm6GaOs2Br3
_chemical_formula_sum 'Pm12 Ga2 Os4 Br6'
_space_group_name_H-M_alt 'C 1 2/m 1'
_space_group_IT_number 12
_space_group_name_Hall '-C 2y'
_cell_length_a 7.2075
_cell_length_b 12.5103
_cell_length_c 8.1066
_cell_angle_alpha 90.00
_cell_angle_beta 107.31
_cell_angle_gamma 90.00
loop_
_atom_site_label
_atom_site_type_symbol
_atom_site_fract_x
_atom_site_fract_y
_atom_site_fract_z
Pm1 Pm 0.2121 0.0000 0.2017
Pm2 Pm 0.2442 0.3220 0.2006
Ga1 Ga 0.0000 0.5000 0.0000
Os1 Os 0.0000 0.1661 0.0000
Br1 Br 0.0000 0.0000 0.5000
Br2 Br 0.0000 0.3336 0.5000